Tl4In10Hg | PBE-GGA | optimized geometry

```
Tl4In10Hg
1.0
8.0630 0.0000 3.6408
4.0315 7.2081 1.8204
1.0651 0.0000 8.3898
In Tl Hg
10 4 1
Cartesian
5.5741 0.7920 5.1323
2.8991 2.3837 8.3489
5.2136 4.8244 3.2232
4.5641 3.6040 6.0153
8.5901 0.7920 6.4942
8.5956 3.6040 7.8357
4.5696 6.4161 7.3568
7.9461 2.3837 10.6279
10.2606 4.8244 5.5021
7.5856 6.4161 8.7187
3.5044 2.0462 2.9878
9.6553 5.1619 10.8632
7.2210 5.9272 5.5057
5.9387 1.2809 8.3453
0.0000 0.0000 0.0000
```

SG = I4/m (87)
Magnetization = 0.000 μB per atom
Electronic total energy = -2.38 eV/atom
Energy relative to the elements = 0.0992 eV per atom